Entry 1:
A geometry-optimized MnZn2TcGe structure. Source: Alexandria via LeMat-Bulk, functional PBE-GGA.

Structure (POSCAR):
```
MnZn2TcGe
1.0
4.6127 0.0000 0.0000
0.0000 4.6127 0.0000
0.0000 0.0000 4.6715
Mn Zn Tc Ge
1 2 1 1
Cartesian
0.0000 0.0000 0.0000
0.0000 2.3064 2.3358
2.3064 0.0000 2.3358
2.3064 2.3064 0.0000
0.0000 0.0000 2.3358
```

Results
ΔE_f   1.120 eV per atom



Entry 2:
A geometry-optimized MnGeTe4 structure. Source: Alexandria via LeMat-Bulk, functional PBE-GGA.

Structure (POSCAR):
```
MnGeTe4
1.0
6.7471 0.0000 0.0000
0.0000 3.7700 0.0000
-2.4822 0.0000 6.5793
Mn Ge Te
1 1 4
Cartesian
0.0000 0.0000 0.0000
-1.2411 1.8850 3.2897
1.0397 1.8850 1.5822
-0.2302 0.0000 5.1783
4.4951 0.0000 1.4011
3.2252 1.8850 4.9972
```

Results
Uncorrected formation energy   -0.092 eV/atom



Entry 3:
A geometry-optimized MnGeTe2 structure. Source: Alexandria via LeMat-Bulk, functional PBE-GGA.

Structure (POSCAR):
```
MnGeTe2
1.0
1.8032 1.0411 9.2663
-1.8032 1.0411 9.2663
0.0000 -2.0821 9.2663
Mn Ge Te
1 1 2
Cartesian
0.0000 0.0000 0.0000
0.0000 0.0000 13.8995
0.0000 0.0000 10.9167
0.0000 0.0000 16.8823
```

Results
Uncorrected formation energy   0.114 eV/atom



Entry 4:
A geometry-optimized MnGeTe2 structure. Source: Alexandria via LeMat-Bulk, functional PBE-GGA.

Structure (POSCAR):
```
MnGeTe2
1.0
-3.1100 3.1100 5.8805
3.1100 -3.1100 5.8805
3.1100 3.1100 -5.8805
Mn Ge Te
2 2 4
Cartesian
0.0000 0.0000 0.0000
0.0000 3.1100 2.9403
3.1100 0.0000 2.9403
0.0000 0.0000 5.8805
4.6649 1.2408 -1.4701
1.2408 1.5550 1.4701
-1.5550 1.8692 4.4104
1.8692 1.5550 7.3506
```

Results
Uncorrected formation energy   0.381 eV/atom



Entry 5:
A geometry-optimized Mn2GeTe4 structure. Source: Alexandria via LeMat-Bulk, functional PBE-GGA.

Structure (POSCAR):
```
Mn2GeTe4
1.0
-3.7733 3.7733 6.7765
3.7733 -3.7733 6.7765
3.7733 3.7733 -6.7765
Mn Ge Te
4 2 8
Cartesian
0.0000 0.0000 0.0000
-1.8866 1.8866 3.3882
0.0000 3.7733 0.0000
1.8866 1.8866 3.3882
3.7733 1.8866 -1.6941
0.0000 1.8866 8.4706
1.0596 -0.4160 2.4396
5.2439 0.8270 0.9487
4.8329 -0.4160 4.3369
2.3026 2.9462 0.9487
1.4707 0.8270 5.8278
-1.0596 4.1892 2.4396
-1.4707 2.9462 5.8278
2.7137 4.1892 4.3369
```

Results
Uncorrected formation energy   0.034 eV/atom



Entry 6:
A geometry-optimized MnGeTe2 structure. Source: Alexandria via LeMat-Bulk, functional PBE-GGA.

Structure (POSCAR):
```
MnGeTe2
1.0
2.0884 1.2057 6.8114
-2.0884 1.2057 6.8114
0.0000 -2.4115 6.8114
Mn Ge Te
1 1 2
Cartesian
0.0000 0.0000 0.0000
0.0000 0.0000 10.2170
0.0000 0.0000 5.1921
0.0000 0.0000 15.2419
```

Results
Uncorrected formation energy   -0.053 eV/atom



Entry 7:
A geometry-optimized Mn2GeTe structure. Source: Alexandria via LeMat-Bulk, functional PBE-GGA.

Structure (POSCAR):
```
Mn2GeTe
1.0
0.0000 3.0528 3.0528
3.0528 0.0000 3.0528
3.0528 3.0528 0.0000
Mn Ge Te
2 1 1
Cartesian
1.5264 1.5264 1.5264
4.5792 4.5792 4.5792
0.0000 0.0000 0.0000
3.0528 3.0528 3.0528
```

Results
Uncorrected formation energy   0.351 eV/atom



Entry 8:
A geometry-optimized MnGe2Te8 structure. Source: Alexandria via LeMat-Bulk, functional PBE-GGA.

Structure (POSCAR):
```
MnGe2Te8
1.0
6.6205 -4.3498 0.0000
6.6205 4.3498 0.0000
-1.1413 0.0000 5.9937
Mn Ge Te
1 2 8
Cartesian
0.0000 0.0000 0.0000
1.8084 0.0000 3.6717
10.2913 0.0000 2.3220
5.5050 2.4404 1.6069
2.3693 0.0000 1.1248
6.5947 2.4404 4.3868
4.1462 0.0000 4.8007
7.9534 0.0000 1.1930
5.5050 -2.4404 1.6069
9.7304 0.0000 4.8689
6.5947 -2.4404 4.3868
```

Results
Uncorrected formation energy   0.030 eV/atom



Calculated volume values, unit A^3/atom, following the record order: 19.88, 27.89, 26.09, 28.44, 27.57, 25.73, 14.23, 31.38.
Ρ values, unit Mg/m³, following the record order: 5.95, 6.33, 6.09, 5.59, 5.96, 6.18, 9.05, 5.87.